Record 1
# Hg2TeRh, relaxed, DFT PBE-GGA
# **Raw formation energy**: -0.087 eV/atom
# **Magnetic moment**: 0.00 μB per formula unit
# **Calculated density**: 10.640 g/cm3
# **Density of states at the Fermi level**: 2.195 states/eV/cell
# **Space group**: Cm (8)
data_Hg2TeRh
_cell_length_a 3.662
_cell_length_b 3.662
_cell_length_c 8.749
_cell_angle_alpha 102.29
_cell_angle_beta 102.29
_cell_angle_gamma 60.09
_symmetry_space_group_name_H-M 'P 1'
_symmetry_Int_Tables_number 1
_symmetry_space_group_name_Hall 'P 1'
loop_
_atom_site_label
_atom_site_fract_x
_atom_site_fract_y
_atom_site_fract_z
_atom_site_occupancy
Hg1 0.000 0.000 0.000 1
Hg2 0.243 0.243 0.732 1
Te1 0.470 0.470 0.401 1
Rh1 0.745 0.745 0.230 1

Record 2
# Ca2YSc, relaxed, DFT PBE-GGA
# **Magnetic moment**: 0.20 μB per formula unit
# **Calculated formation energy**: 0.12 eV per atom
# **Calculated density**: 2.607 g/cm3
# **Density of states at the Fermi level**: 8.051 states/eV/cell
# **Space group**: R3m (160)
data_Ca2YSc
_cell_length_a 12.240
_cell_length_b 12.240
_cell_length_c 12.240
_cell_angle_alpha 16.97
_cell_angle_beta 16.97
_cell_angle_gamma 16.97
_symmetry_space_group_name_H-M 'P 1'
_symmetry_Int_Tables_number 1
_symmetry_space_group_name_Hall 'P 1'
loop_
_atom_site_label
_atom_site_fract_x
_atom_site_fract_y
_atom_site_fract_z
_atom_site_occupancy
Ca1 0.000 0.000 0.000 1
Ca2 0.241 0.241 0.241 1
Y1 0.486 0.486 0.486 1
Sc1 0.748 0.748 0.748 1

Record 3
# TaBeGa2, relaxed, DFT PBE-GGA
# **Magnetic moment**: 0.00 μB per formula unit
# **Calculated formation energy**: 0.19 eV per atom
# **Calculated density**: 9.138 g/cm3
# **Density of states at the Fermi level**: 3.969 states/eV/cell
# **Space group**: I-42d (122)
data_TaBeGa2
_cell_length_a 5.468
_cell_length_b 5.468
_cell_length_c 5.468
_cell_angle_alpha 102.75
_cell_angle_beta 102.75
_cell_angle_gamma 123.97
_symmetry_space_group_name_H-M 'P 1'
_symmetry_Int_Tables_number 1
_symmetry_space_group_name_Hall 'P 1'
loop_
_atom_site_label
_atom_site_fract_x
_atom_site_fract_y
_atom_site_fract_z
_atom_site_occupancy
Ta1 0.000 0.000 0.000 1
Ta2 0.750 0.250 0.500 1
Be1 0.250 0.750 0.500 1
Be2 0.500 0.500 0.000 1
Ga1 0.177 0.625 0.052 1
Ga2 0.375 0.427 0.552 1
Ga3 0.573 0.125 0.948 1
Ga4 0.875 0.823 0.448 1